(1)
## CoRhSe (PBE-GGA)

Data for crystalline CoRhSe at its relaxed geometry.

Properties
space-group type	P2_1/m
E above lowest polymorph	0.147	eV/atom
E_form (uncorrected)	0.1945	eV/atom
electronic total energy	-0.21263	hartree per atom

a b c (Å): 2.9162 5.4760 5.7063
angles (deg): 90.00 104.66 90.00
Fractional positions:
1 Co 0.1555 0.2500 0.3131
2 Co 0.8445 0.7500 0.6869
3 Rh 0.5000 0.0000 0.0000
4 Rh 0.5000 0.5000 0.0000
5 Se 0.1636 0.7500 0.3237
6 Se 0.8364 0.2500 0.6763

(2)
## Y2BeAu (PBE-GGA)

Data for crystalline Y2BeAu at its relaxed geometry.

Properties
space-group type	C2/m
energy relative to the elements	-13.1	kJ per mole of atoms
electronic total energy	-0.18811	hartree per atom

a b c (Å): 4.4108 4.4108 6.7003
angles (deg): 104.50 104.50 51.84
Fractional positions:
1 Y 0.2477 0.2477 0.2343
2 Y 0.7523 0.7523 0.7657
3 Be 0.5000 0.5000 0.0000
4 Au 0.0000 0.0000 0.5000

(3)
## AcZnAgAu (PBE-GGA)

Data for crystalline AcZnAgAu at its relaxed geometry.

Properties
space-group type	R3m
E above lowest polymorph	0.000	eV/atom
energy relative to the elements	-42.5	kJ per mole of atoms
electronic total energy	-0.12196	hartree per atom

a b c (Å): 5.8458 5.8458 5.8458
angles (deg): 47.02 47.02 47.02
Fractional positions:
1 Ac 0.0000 0.0000 0.0000
2 Zn 0.4972 0.4972 0.4972
3 Ag 0.2089 0.2089 0.2089
4 Au 0.7891 0.7891 0.7891

(4)
## Li2Cd5Ag4 (PBE-GGA)

Data for crystalline Li2Cd5Ag4 at its relaxed geometry.

Properties
space-group type	Immm
E above lowest polymorph	0.080	eV/atom
energy relative to the elements	-4.4	kJ per mole of atoms
electronic total energy	-0.06784	hartree per atom

a b c (Å): 10.3972 10.3972 10.3972
angles (deg): 163.65 135.87 47.36
Fractional positions:
1 Li 0.0900 0.0900 0.0000
2 Li 0.9100 0.9100 0.0000
3 Cd 0.1456 0.3501 0.7956
4 Cd 0.4455 0.6499 0.7956
5 Cd 0.5000 0.0000 0.5000
6 Cd 0.5545 0.3501 0.2044
7 Cd 0.8544 0.6499 0.2044
8 Ag 0.1874 0.5000 0.6874
9 Ag 0.2258 0.2258 0.0000
10 Ag 0.7742 0.7742 0.0000
11 Ag 0.8126 0.5000 0.3126

(5)
## CaGa2Au8 (PBE-GGA)

Data for crystalline CaGa2Au8 at its relaxed geometry.

Properties
space-group type	C2/m
E above lowest polymorph	0.000	eV/atom
energy relative to the elements	-25.2	kJ per mole of atoms
electronic total energy	-0.12411	hartree per atom

a b c (Å): 8.5491 8.5491 7.4557
angles (deg): 111.86 111.86 24.50
Fractional positions:
1 Ca 0.0000 0.0000 0.0000
2 Ga 0.2945 0.2945 0.3214
3 Ga 0.7055 0.7055 0.6786
4 Au 0.0949 0.0949 0.4505
5 Au 0.1750 0.1750 0.9557
6 Au 0.3341 0.3341 0.7423
7 Au 0.4529 0.4529 0.2835
8 Au 0.5471 0.5471 0.7165
9 Au 0.6659 0.6659 0.2577
10 Au 0.8250 0.8250 0.0443
11 Au 0.9051 0.9051 0.5495

(6)
## CaLa2Pa (PBE-GGA)

Data for crystalline CaLa2Pa at its relaxed geometry.

Properties
space-group type	P4/mmm
E above lowest polymorph	0.000	eV/atom
energy relative to the elements	12.8	kJ per mole of atoms
electronic total energy	-0.19128	hartree per atom

a b c (Å): 3.4976 3.4976 11.0319
angles (deg): 90.00 90.00 90.00
Fractional positions:
1 Ca 0.0000 0.0000 0.0000
2 La 0.5000 0.5000 0.2855
3 La 0.5000 0.5000 0.7145
4 Pa 0.0000 0.0000 0.5000

(7)
## Np4N (PBE-GGA)

Data for crystalline Np4N at its relaxed geometry.

Properties
space-group type	Pm-3m
E_form (uncorrected)	0.1127	eV/atom
electronic total energy	-0.43750	hartree per atom

a b c (Å): 4.6508 4.6508 4.6508
angles (deg): 90.00 90.00 90.00
Fractional positions:
1 Np 0.0000 0.0000 0.0000
2 Np 0.0000 0.5000 0.5000
3 Np 0.5000 0.0000 0.5000
4 Np 0.5000 0.5000 0.0000
5 N 0.5000 0.5000 0.5000

(8)
## TiBeAu3 (PBE-GGA)

Data for crystalline TiBeAu3 at its relaxed geometry.

Properties
space-group type	Pm-3m
E above lowest polymorph	0.000	eV/atom
energy relative to the elements	9.0	kJ per mole of atoms
electronic total energy	-0.15426	hartree per atom

a b c (Å): 4.4114 4.4114 4.4114
angles (deg): 90.00 90.00 90.00
Fractional positions:
1 Ti 0.0000 0.0000 0.0000
2 Be 0.5000 0.5000 0.5000
3 Au 0.0000 0.5000 0.5000
4 Au 0.5000 0.0000 0.5000
5 Au 0.5000 0.5000 0.0000

(9)
## CuPtCl5 (PBE-GGA)

Data for crystalline CuPtCl5 at its relaxed geometry.

Properties
space-group type	C2/c
E_form (uncorrected)	-0.4210	eV/atom
electronic total energy	-0.11716	hartree per atom

a b c (Å): 6.6146 6.6146 9.2115
angles (deg): 109.76 109.76 93.10
Fractional positions:
1 Cu 0.1415 0.8585 0.7500
2 Cu 0.8585 0.1415 0.2500
3 Pt 0.5000 0.5000 0.0000
4 Pt 0.5000 0.5000 0.5000
5 Cl 0.1727 0.2347 0.8473
6 Cl 0.2226 0.7069 0.5227
7 Cl 0.2347 0.1727 0.3473
8 Cl 0.2931 0.7774 0.9773
9 Cl 0.4186 0.5814 0.2500
10 Cl 0.5814 0.4186 0.7500
11 Cl 0.7069 0.2226 0.0227
12 Cl 0.7653 0.8273 0.6527
13 Cl 0.7774 0.2931 0.4773
14 Cl 0.8273 0.7653 0.1527

(10)
## KCaGa2O (PBE-GGA)

Data for crystalline KCaGa2O at its relaxed geometry.

Properties
space-group type	P4/mmm
E_form (uncorrected)	-0.2462	eV/atom
electronic total energy	-0.11276	hartree per atom

a b c (Å): 6.0041 6.0041 4.3117
angles (deg): 90.00 90.00 90.00
Fractional positions:
1 K 0.0000 0.0000 0.0000
2 Ca 0.5000 0.5000 0.5000
3 Ga 0.0000 0.5000 0.5000
4 Ga 0.5000 0.0000 0.5000
5 O 0.5000 0.5000 0.0000

(11)
## LiCaNpTe3 (PBE-GGA)

Data for crystalline LiCaNpTe3 at its relaxed geometry.

Properties
space-group type	P2_1/m
E_form (uncorrected)	-1.0106	eV/atom
electronic total energy	-0.19811	hartree per atom

a b c (Å): 9.0444 4.3761 9.6172
angles (deg): 90.00 102.66 90.00
Fractional positions:
1 Li 0.0841 0.2500 0.0818
2 Li 0.9159 0.7500 0.9182
3 Ca 0.1849 0.2500 0.7359
4 Ca 0.8151 0.7500 0.2641
5 Np 0.3295 0.7500 0.3357
6 Np 0.6705 0.2500 0.6643
7 Te 0.0934 0.2500 0.3690
8 Te 0.2303 0.7500 0.0032
9 Te 0.4277 0.7500 0.6696
10 Te 0.5723 0.2500 0.3304
11 Te 0.7697 0.2500 0.9968
12 Te 0.9066 0.7500 0.6310

(12)
## CsNa2Tl3Cl6 (PBE-GGA)

Data for crystalline CsNa2Tl3Cl6 at its relaxed geometry.

Properties
space-group type	C2/m
E_form (uncorrected)	-1.4022	eV/atom
electronic total energy	-0.11789	hartree per atom

a b c (Å): 10.0770 10.0770 9.0697
angles (deg): 102.17 102.17 25.72
Fractional positions:
1 Cs 0.0000 0.0000 0.0000
2 Na 0.3255 0.3255 0.6547
3 Na 0.6745 0.6745 0.3453
4 Tl 0.0000 0.0000 0.5000
5 Tl 0.3311 0.3311 0.1786
6 Tl 0.6689 0.6689 0.8214
7 Cl 0.1782 0.1782 0.5775
8 Cl 0.1790 0.1790 0.1205
9 Cl 0.4710 0.4710 0.7189
10 Cl 0.5290 0.5290 0.2811
11 Cl 0.8210 0.8210 0.8795
12 Cl 0.8218 0.8218 0.4225

(13)
## TlInBi (PBE-GGA)

Data for crystalline TlInBi at its relaxed geometry.

Properties
space-group type	I4mm
E above lowest polymorph	0.017	eV/atom
energy relative to the elements	-0.8	kJ per mole of atoms
electronic total energy	-0.11037	hartree per atom

a b c (Å): 7.9441 7.9441 7.9441
angles (deg): 154.41 154.41 36.51
Fractional positions:
1 Tl 0.0000 0.0000 0.0000
2 In 0.3267 0.3267 0.0000
3 Bi 0.6702 0.6702 0.0000

(14)
## YPaPd2 (PBE-GGA)

Data for crystalline YPaPd2 at its relaxed geometry.

Properties
space-group type	Fm-3m
E above lowest polymorph	0.050	eV/atom
energy relative to the elements	-51.2	kJ per mole of atoms
electronic total energy	-0.26156	hartree per atom

a b c (Å): 4.9841 4.9841 4.9841
angles (deg): 60.00 60.00 60.00
Fractional positions:
1 Y 0.0000 0.0000 0.0000
2 Pa 0.5000 0.5000 0.5000
3 Pd 0.2500 0.2500 0.2500
4 Pd 0.7500 0.7500 0.7500

(15)
## RbNd2Au2O6 (PBE-GGA)

Data for crystalline RbNd2Au2O6 at its relaxed geometry.

Properties
space-group type	P-1
E_form (uncorrected)	-1.5947	eV/atom
electronic total energy	-0.21498	hartree per atom

a b c (Å): 6.3185 6.4478 6.8463
angles (deg): 116.05 98.16 108.86
Fractional positions:
1 Rb 0.0000 0.0000 0.0000
2 Nd 0.0216 0.3395 0.6840
3 Nd 0.9784 0.6605 0.3160
4 Au 0.4567 0.0433 0.8201
5 Au 0.5433 0.9567 0.1799
6 O 0.1554 0.7160 0.6737
7 O 0.2282 0.6690 0.0873
8 O 0.2542 0.1148 0.6067
9 O 0.7458 0.8852 0.3933
10 O 0.7718 0.3310 0.9127
11 O 0.8446 0.2840 0.3263

(16)
## PrMgGe2Rh (PBE-GGA)

Data for crystalline PrMgGe2Rh at its relaxed geometry.

Properties
space-group type	I-4m2
energy relative to the elements	-69.4	kJ per mole of atoms
electronic total energy	-0.19518	hartree per atom

a b c (Å): 6.3760 6.3760 6.3760
angles (deg): 141.88 141.88 55.01
Fractional positions:
1 Pr 0.0000 0.0000 0.0000
2 Mg 0.7500 0.2500 0.5000
3 Ge 0.3883 0.3883 0.0000
4 Ge 0.6117 0.6117 0.0000
5 Rh 0.2500 0.7500 0.5000

(17)
## TaIn2Mo (PBE-GGA)

Data for crystalline TaIn2Mo at its relaxed geometry.

Properties
space-group type	I-42d
E above lowest polymorph	0.642	eV/atom
energy relative to the elements	80.4	kJ per mole of atoms
electronic total energy	-0.22810	hartree per atom

a b c (Å): 6.1085 6.1085 6.1085
angles (deg): 102.63 102.63 124.25
Fractional positions:
1 Ta 0.0000 0.0000 0.0000
2 Ta 0.7500 0.2500 0.5000
3 In 0.1325 0.6250 0.0075
4 In 0.3750 0.3825 0.5075
5 In 0.6175 0.1250 0.9925
6 In 0.8750 0.8675 0.4925
7 Mo 0.2500 0.7500 0.5000
8 Mo 0.5000 0.5000 0.0000

(18)
## Pm3PrEr6 (PBE-GGA)

Data for crystalline Pm3PrEr6 at its relaxed geometry.

Properties
space-group type	R32
E above lowest polymorph	0.149	eV/atom
energy relative to the elements	28.8	kJ per mole of atoms
electronic total energy	-0.15959	hartree per atom

a b c (Å): 6.8983 6.8983 6.8983
angles (deg): 91.63 91.63 91.63
Fractional positions:
1 Pm 0.0000 0.0000 0.0000
2 Pm 0.2481 0.2481 0.2481
3 Pm 0.7519 0.7519 0.7519
4 Pr 0.5000 0.5000 0.5000
5 Er 0.0000 0.6731 0.3269
6 Er 0.1717 0.5000 0.8283
7 Er 0.3269 0.0000 0.6731
8 Er 0.5000 0.8283 0.1717
9 Er 0.6731 0.3269 0.0000
10 Er 0.8283 0.1717 0.5000